SiNi2Os | PBE-GGA | optimized geometry

CIF file:
```
data_SiNi2Os
_chemical_formula_sum 'Si3 Ni6 Os3'
_cell_length_a 2.7020
_cell_length_b 2.7020
_cell_length_c 23.5246
_cell_angle_alpha 90.00
_cell_angle_beta 90.00
_cell_angle_gamma 120.00
_symmetry_space_group_name_H-M 'R 3 m'
_symmetry_Int_Tables_number 160
_symmetry_space_group_name_Hall 'R 3 -2"'
loop_
_atom_site_label
_atom_site_type_symbol
_atom_site_fract_x
_atom_site_fract_y
_atom_site_fract_z
Si1 Si 0.0000 0.0000 0.0000
Ni1 Ni 0.0000 0.0000 0.2592
Ni2 Ni 0.0000 0.0000 0.5068
Os1 Os 0.0000 0.0000 0.7511
```

Summary:
Total magnetic moment   0.393 μB per formula unit
Raw formation energy   -0.014 eV/atom